The following is a GGA+U calculation of a relaxed MgTlVF2 crystal, from the Alexandria database.

abc: 4.047 6.207 4.047
angles: 90.00 90.00 90.00
Site moments in Bohr magnetons follow the coordinates.
Fractional positions:
V (0.000, 0.000, 0.000)  2.46
F (0.500, 0.000, 0.000)  0.01
F (0.000, 0.000, 0.500)  -0.01
Mg (0.500, 0.500, 0.500)  -0.01
Tl (0.000, 0.500, 0.000)  0.02

Computed properties:
- Uncorrected energy: -4.256 eV per atom